a.
The following is a PBE-GGA calculation of a relaxed In2CuAg crystal, from Alexandria via LeMat-Bulk.

Computed properties:
V ... 19.69 Å³ per atom
Total magnetic moment ... 0.0 μB per cell

Cell and atoms, written as POSCAR:
```
In2CuAg
1.0
5.313 -0.026 0.000
1.959 4.939 0.000
-3.636 -2.456 2.996
In Ag Cu
2 1 1
Direct
0.250 0.750 0.500
0.000 0.000 0.000
0.500 0.500 0.000
0.750 0.250 0.500
```


b.
The following is a PBE-GGA calculation of a relaxed In2CuAg crystal, from Alexandria via LeMat-Bulk.

Computed properties:
V ... 19.72 Å³ per atom
Total magnetic moment ... 0.0 μB per cell

Cell and atoms, written as POSCAR:
```
In2CuAg
1.0
-4.408 0.181 -0.247
-0.128 -4.324 -0.894
-0.255 -0.809 3.951
Cu In Ag
1 2 1
Direct
0.000 0.500 0.500
0.000 0.000 0.000
0.500 0.500 0.000
0.500 0.000 0.500
```


c.
The following is a PBE-GGA calculation of a relaxed In2CuAg crystal, from Alexandria via LeMat-Bulk.

Computed properties:
V ... 20.03 Å³ per atom
Total magnetic moment ... 0.0 μB per cell

Cell and atoms, written as POSCAR:
```
In2CuAg
1.0
-0.875 -3.120 -0.192
2.133 -2.223 -1.023
3.079 -3.037 7.868
Ag In Cu
1 2 1
Direct
0.500 0.500 0.499
0.078 0.078 0.767
0.256 0.256 0.233
0.666 0.666 0.001
```


d.
The following is a PBE-GGA calculation of a relaxed In2CuAg crystal, from Alexandria via LeMat-Bulk.

Computed properties:
V ... 20.37 Å³ per atom
Total magnetic moment ... 0.0 μB per cell

Cell and atoms, written as POSCAR:
```
In2CuAg
1.0
4.866 0.000 0.000
2.433 4.214 0.000
2.433 1.405 3.973
Cu Ag In
1 1 2
Direct
0.750 0.750 0.750
0.500 0.500 0.500
0.250 0.250 0.250
0.000 0.000 0.000
```


Short version: c, b, a, d, most stable first.